First-principles (PBE-GGA) data for CuNi2W after structural relaxation, as listed in Alexandria via LeMat-Bulk.

Lattice parameters (Å, degrees): 2.5840 4.0220 4.9782 90.00 104.81 90.00
Last column: nearest neighbours and their distance in Å.
Space group Pm (No. 6)
Symmetry-distinct sites (fractional):
Cu1 0.0000 0.0000 0.0000  7 Ni 2.52-2.64, 2 Cu 2.58
Ni1 0.5991 0.5000 0.1969  4 Ni 2.42-2.58, 3 W 2.45-2.69, 4 Cu 2.57
Ni2 0.7399 0.0000 0.4767  4 Ni 2.42-2.58, 3 Cu 2.52-2.64, 4 W 2.59-2.60
W1 0.3426 0.5000 0.6872  7 Ni 2.45-2.69, 2 W 2.58

Results
The value obtained for the energy relative to the lowest polymorph listed for this composition is 9.8 kJ per mole of atoms. The calculation puts the mass density at 12.110 g/cm3. The total energy is -7.039 eV per atom. For the energy of formation from the pure elements, the calculation gives 11 kJ per mole of atoms. The calculation puts the spin magnetization at 0.000 Bohr magnetons per cell.